GGA-PBE Pm2Ga2Rh3, optimized geometry; space group = No. 12; raw total energy = -42.7 eV per cell; crystal system = monoclinic; energy of formation from the pure elements = -733 meV per atom
1.0
3.741 0.000 0.000
-1.871 5.513 -0.105
0.000 -2.668 6.618
Pm Rh Ga
2 3 2
direct
0.885 0.769 0.234
0.115 0.231 0.766
0.624 0.247 0.451
0.500 0.000 0.000
0.376 0.753 0.549
0.158 0.317 0.237
0.842 0.683 0.763